Computed, not measured: an optimized crystal structure of Tb2NbN at the GGA-PBE level of DFT.

* crystal system: trigonal
* final energy: -7.191 eV per atom
* DOS(E_F): 1.054 states/eV/atom
* volume: 83.7 Å³/f.u.

Cell: 3.3043 3.3043 26.5566 Å, 90.00 90.00 120.00°
Space group R-3m (No. 166, hexagonal axes)
Unique sites:
1 Tb 0.0000 0.0000 0.1142 (multiplicity 6)
2 Nb 0.0000 0.0000 0.0000 (multiplicity 3)
3 N 0.0000 0.0000 0.5000 (multiplicity 3)